(1)
{
  "formula": "ZrCdAu",
  "functional": "GGA-PBE",
  "state": "optimized geometry",
  "lattice": [[3.2068, 0.0000, 0.0000], [0.0000, 3.2068, 0.0000], [0.0000, 0.0000, 11.9437]],
  "species": ["Zr", "Zr", "Cd", "Cd", "Au", "Au"],
  "frac_coords": [[0.0000, 0.0000, 0.0000], [0.5000, 0.5000, 0.5000], [0.0000, 0.0000, 0.3168], [0.5000, 0.5000, 0.8168], [0.0000, 0.0000, 0.6555], [0.5000, 0.5000, 0.1555]],
  "delta_e_f_ev_per_atom": -0.302
}

(2)
{
  "formula": "LaPb5",
  "functional": "GGA-PBE",
  "state": "optimized geometry",
  "lattice": [[5.5893, 0.0000, 0.0000], [0.0000, 3.9022, 0.0000], [0.0000, 0.0000, 17.3495]],
  "species": ["La", "La", "Pb", "Pb", "Pb", "Pb", "Pb", "Pb", "Pb", "Pb", "Pb", "Pb"],
  "frac_coords": [[0.0000, 0.0000, 0.0000], [0.0000, 0.5000, 0.5000], [0.0000, 0.0000, 0.3282], [0.0000, 0.0000, 0.6718], [0.0000, 0.5000, 0.1718], [0.0000, 0.5000, 0.8282], [0.5000, 0.0000, 0.1643], [0.5000, 0.0000, 0.5003], [0.5000, 0.0000, 0.8363], [0.5000, 0.5000, 0.0003], [0.5000, 0.5000, 0.3363], [0.5000, 0.5000, 0.6643]],
  "delta_e_f_ev_per_atom": -0.182,
  "de_polymorph_mev_per_atom": 42
}

(3)
{
  "formula": "AsRuPb2",
  "functional": "GGA-PBE",
  "state": "optimized geometry",
  "lattice": [[3.3693, 0.0000, 0.0000], [0.0000, 4.5366, 0.0000], [0.0000, 0.0000, 12.2815]],
  "species": ["As", "As", "Ru", "Ru", "Pb", "Pb", "Pb", "Pb"],
  "frac_coords": [[0.0000, 0.0000, 0.0000], [0.0000, 0.5000, 0.5000], [0.5000, 0.0000, 0.1447], [0.5000, 0.5000, 0.6447], [0.0000, 0.0000, 0.7017], [0.0000, 0.5000, 0.2017], [0.5000, 0.0000, 0.3901], [0.5000, 0.5000, 0.8901]],
  "delta_e_f_ev_per_atom": 0.152
}

(4)
{
  "formula": "CaGaGe2Sb",
  "functional": "GGA-PBE",
  "state": "optimized geometry",
  "lattice": [[4.9369, 0.0000, 0.0000], [0.0000, 4.9369, 0.0000], [0.0000, 0.0000, 5.5789]],
  "species": ["Ca", "Ga", "Ge", "Ge", "Sb"],
  "frac_coords": [[0.0000, 0.0000, 0.0000], [0.5000, 0.5000, 0.5000], [0.0000, 0.5000, 0.5000], [0.5000, 0.0000, 0.5000], [0.5000, 0.5000, 0.0000]],
  "e_form_raw_ev_per_atom": 0.13
}

(5)
{
  "formula": "CuReOs2",
  "functional": "GGA-PBE",
  "state": "optimized geometry",
  "lattice": [[3.7537, 0.0000, 0.0000], [0.0000, 3.7537, 0.0000], [0.0000, 0.0000, 7.9766]],
  "species": ["Cu", "Cu", "Re", "Re", "Os", "Os", "Os", "Os"],
  "frac_coords": [[0.0000, 0.0000, 0.0000], [0.5000, 0.5000, 0.5000], [0.0000, 0.5000, 0.2500], [0.5000, 0.0000, 0.7500], [0.0000, 0.0000, 0.5000], [0.0000, 0.5000, 0.7500], [0.5000, 0.0000, 0.2500], [0.5000, 0.5000, 0.0000]],
  "delta_e_f_ev_per_atom": 0.358,
  "de_polymorph_mev_per_atom": 178
}

(6)
{
  "formula": "LaScP",
  "functional": "GGA-PBE",
  "state": "optimized geometry",
  "lattice": [[3.8898, 0.0000, 0.0000], [-1.9449, 3.3686, 0.0000], [0.0000, 0.0000, 6.4847]],
  "species": ["La", "Sc", "P"],
  "frac_coords": [[0.0000, 0.0000, 0.0000], [0.3333, 0.6667, 0.4773], [0.6667, 0.3333, 0.2793]],
  "delta_e_f_ev_per_atom": -0.868,
  "de_polymorph_mev_per_atom": 162
}

(7)
{
  "formula": "Pm8Hg2Ru",
  "functional": "GGA-PBE",
  "state": "optimized geometry",
  "lattice": [[-2.4922, 4.3853, 7.3594], [2.4922, -4.3853, 7.3594], [2.4922, 4.3853, -7.3594]],
  "species": ["Pm", "Pm", "Pm", "Pm", "Pm", "Pm", "Pm", "Pm", "Hg", "Hg", "Ru"],
  "frac_coords": [[0.1147, 0.3457, 0.7690], [0.1177, 0.1177, 0.0000], [0.3350, 0.0000, 0.3350], [0.4233, 0.6543, 0.7690], [0.5767, 0.3457, 0.2310], [0.6650, 0.0000, 0.6650], [0.8823, 0.8823, 0.0000], [0.8853, 0.6543, 0.2310], [0.2988, 0.7988, 0.5000], [0.7012, 0.2012, 0.5000], [0.0000, 0.5000, 0.5000]],
  "delta_e_f_ev_per_atom": -0.110,
  "de_polymorph_mev_per_atom": 107
}

(8)
{
  "formula": "PuSn2Au",
  "functional": "GGA-PBE",
  "state": "optimized geometry",
  "lattice": [[7.2787, 0.0000, 0.0000], [0.0000, 7.2787, 0.0000], [0.0000, 0.0000, 7.2787]],
  "species": ["Pu", "Pu", "Pu", "Pu", "Sn", "Sn", "Sn", "Sn", "Sn", "Sn", "Sn", "Sn", "Au", "Au", "Au", "Au"],
  "frac_coords": [[0.0000, 0.0000, 0.0000], [0.0000, 0.5000, 0.5000], [0.5000, 0.0000, 0.5000], [0.5000, 0.5000, 0.0000], [0.2500, 0.2500, 0.2500], [0.2500, 0.2500, 0.7500], [0.2500, 0.7500, 0.2500], [0.2500, 0.7500, 0.7500], [0.7500, 0.2500, 0.2500], [0.7500, 0.2500, 0.7500], [0.7500, 0.7500, 0.2500], [0.7500, 0.7500, 0.7500], [0.0000, 0.0000, 0.5000], [0.0000, 0.5000, 0.0000], [0.5000, 0.0000, 0.0000], [0.5000, 0.5000, 0.5000]],
  "delta_e_f_ev_per_atom": -0.158
}

(9)
{
  "formula": "Ba2IrPt",
  "functional": "GGA-PBE",
  "state": "optimized geometry",
  "lattice": [[4.5716, 0.0000, 0.0000], [0.0000, 4.5716, 0.0000], [0.0000, 0.0000, 10.4409]],
  "species": ["Ba", "Ba", "Ba", "Ba", "Ir", "Ir", "Pt", "Pt"],
  "frac_coords": [[0.0000, 0.0000, 0.0000], [0.0000, 0.5000, 0.2500], [0.5000, 0.0000, 0.7500], [0.5000, 0.5000, 0.5000], [0.0000, 0.5000, 0.7500], [0.5000, 0.0000, 0.2500], [0.0000, 0.0000, 0.5000], [0.5000, 0.5000, 0.0000]],
  "delta_e_f_ev_per_atom": 0.089
}

(10)
{
  "formula": "CaAcErPb",
  "functional": "GGA-PBE",
  "state": "optimized geometry",
  "lattice": [[8.1149, 0.0000, 0.0000], [0.0000, 8.1149, 0.0000], [0.0000, 0.0000, 8.1149]],
  "species": ["Ca", "Ca", "Ca", "Ca", "Ac", "Ac", "Ac", "Ac", "Er", "Er", "Er", "Er", "Pb", "Pb", "Pb", "Pb"],
  "frac_coords": [[0.0000, 0.0000, 0.0000], [0.0000, 0.5000, 0.5000], [0.5000, 0.0000, 0.5000], [0.5000, 0.5000, 0.0000], [0.2500, 0.2500, 0.7500], [0.2500, 0.7500, 0.2500], [0.7500, 0.2500, 0.2500], [0.7500, 0.7500, 0.7500], [0.0000, 0.0000, 0.5000], [0.0000, 0.5000, 0.0000], [0.5000, 0.0000, 0.0000], [0.5000, 0.5000, 0.5000], [0.2500, 0.2500, 0.2500], [0.2500, 0.7500, 0.7500], [0.7500, 0.2500, 0.7500], [0.7500, 0.7500, 0.2500]],
  "delta_e_f_ev_per_atom": -0.003
}

(11)
{
  "formula": "ScPRu2",
  "functional": "GGA-PBE",
  "state": "optimized geometry",
  "lattice": [[4.3113, 0.0000, 0.0000], [0.0000, 3.0287, 0.0000], [0.0000, 0.0000, 9.1707]],
  "species": ["Sc", "Sc", "P", "P", "Ru", "Ru", "Ru", "Ru"],
  "frac_coords": [[0.0000, 0.0000, 0.0000], [0.0000, 0.5000, 0.5000], [0.5000, 0.0000, 0.6221], [0.5000, 0.5000, 0.1221], [0.0000, 0.0000, 0.7355], [0.0000, 0.5000, 0.2355], [0.5000, 0.0000, 0.3440], [0.5000, 0.5000, 0.8440]],
  "delta_e_f_ev_per_atom": -0.491
}

(12)
{
  "formula": "TbMg3Pd",
  "functional": "GGA-PBE",
  "state": "optimized geometry",
  "lattice": [[5.4866, 0.0000, 0.0000], [0.0000, 5.8325, 0.0000], [-2.3442, 0.0000, 7.0683]],
  "species": ["Tb", "Tb", "Mg", "Mg", "Mg", "Mg", "Mg", "Mg", "Pd", "Pd"],
  "frac_coords": [[0.1009, 0.2500, 0.3913], [0.8991, 0.7500, 0.6087], [0.0301, 0.2500, 0.8966], [0.4965, 0.0003, 0.7960], [0.4965, 0.4997, 0.7960], [0.5035, 0.9997, 0.2040], [0.5035, 0.5003, 0.2040], [0.9699, 0.7500, 0.1034], [0.3289, 0.7500, 0.4641], [0.6711, 0.2500, 0.5359]],
  "delta_e_f_ev_per_atom": -0.396,
  "de_polymorph_mev_per_atom": 0
}